Here is a relaxed structure of Pr2DyY5Ho from Alexandria via LeMat-Bulk. Energies are from GGA-PBE.

Summary:
Total DFT energy (no corrections), eV/atom: -5.4159

Unit cell a=8.659 b=8.659 c=15.850 alpha=90.00 beta=90.00 gamma=90.00
Space group I4/mcm (No. 140)
Asymmetric unit:
Pr (0.118, 0.382, 0.000) [8 per cell]
Dy (0.000, 0.000, 0.250) [4 per cell]
Y (0.000, 0.000, 0.000) [4 per cell]
Y (0.212, 0.288, 0.359) [16 per cell]
Ho (0.000, 0.500, 0.250) [4 per cell]

---

Here is a relaxed structure of Pr6Dy3Y2Ho from Alexandria via LeMat-Bulk. Energies are from GGA-PBE.

Summary:
Total DFT energy (no corrections), eV/atom: -4.9894

Unit cell a=6.315 b=10.938 c=11.901 alpha=90.00 beta=100.16 gamma=90.00
Space group C2/m (No. 12)
Asymmetric unit:
Pr (0.249, 0.000, 0.250) [4 per cell]
Pr (0.250, 0.166, 0.750) [8 per cell]
Dy (0.000, 0.167, 0.000) [4 per cell]
Dy (0.000, 0.500, 0.000) [2 per cell]
Y (0.000, 0.333, 0.500) [4 per cell]
Ho (0.000, 0.000, 0.500) [2 per cell]

---

Here is a relaxed structure of Pr5DyYHo2 from Alexandria via LeMat-Bulk. Energies are from GGA-PBE.

Summary:
Total DFT energy (no corrections), eV/atom: -4.7572

Unit cell a=5.671 b=20.696 c=10.734 alpha=90.00 beta=90.00 gamma=90.00
Space group Cmc2_1 (No. 36)
Asymmetric unit:
Pr (0.000, 0.014, 0.000) [4 per cell]
Pr (0.000, 0.279, 0.298) [4 per cell]
Pr (0.000, 0.295, 0.692) [4 per cell]
Pr (0.000, 0.383, 0.005) [4 per cell]
Pr (0.000, 0.485, 0.730) [4 per cell]
Dy (0.000, 0.199, 0.995) [4 per cell]
Y (0.000, 0.406, 0.450) [4 per cell]
Ho (0.000, 0.113, 0.724) [4 per cell]
Ho (0.000, 0.114, 0.289) [4 per cell]

---

Here is a relaxed structure of PrDy2Y2Ho from Alexandria via LeMat-Bulk. Energies are from GGA-PBE.

Summary:
Total DFT energy (no corrections), eV/atom: -4.9811

Unit cell a=6.539 b=17.889 c=3.418 alpha=90.00 beta=90.00 gamma=90.00
Space group Pnnm (No. 58)
Asymmetric unit:
Pr (0.000, 0.000, 0.000) [2 per cell]
Dy (0.218, 0.353, 0.500) [4 per cell]
Y (0.221, 0.187, 0.000) [4 per cell]
Ho (0.000, 0.500, 0.000) [2 per cell]

---

Here is a relaxed structure of PrDyYHo3 from Alexandria via LeMat-Bulk. Energies are from GGA-PBE.

Summary:
Total DFT energy (no corrections), eV/atom: -4.9309

Unit cell a=9.556 b=3.600 c=11.965 alpha=90.00 beta=110.28 gamma=90.00
Space group P2_1/m (No. 11)
Asymmetric unit:
Pr (0.129, 0.250, 0.128) [2 per cell]
Dy (0.377, 0.750, 0.378) [2 per cell]
Y (0.183, 0.250, 0.844) [2 per cell]
Ho (0.069, 0.250, 0.405) [2 per cell]
Ho (0.319, 0.750, 0.652) [2 per cell]
Ho (0.434, 0.750, 0.098) [2 per cell]

---

Here is a relaxed structure of Pr4Dy2Y2Ho from Alexandria via LeMat-Bulk. Energies are from GGA-PBE.

Summary:
Total DFT energy (no corrections), eV/atom: -5.0708

Unit cell a=15.406 b=5.125 c=8.095 alpha=90.00 beta=108.46 gamma=90.00
Space group C2/m (No. 12)
Asymmetric unit:
Pr (0.054, 0.000, 0.332) [4 per cell]
Pr (0.223, 0.500, 0.333) [4 per cell]
Dy (0.111, 0.500, 0.669) [4 per cell]
Y (0.167, 0.000, 0.000) [4 per cell]
Ho (0.000, 0.500, 0.000) [2 per cell]

---

Here is a relaxed structure of PrDy6YHo2 from Alexandria via LeMat-Bulk. Energies are from GGA-PBE.

Summary:
Total DFT energy (no corrections), eV/atom: -4.6831

Unit cell a=9.080 b=15.077 c=9.548 alpha=90.00 beta=96.93 gamma=90.00
Space group C2/c (No. 15)
Asymmetric unit:
Pr (0.000, 0.026, 0.250) [4 per cell]
Dy (0.064, 0.186, 0.943) [8 per cell]
Dy (0.100, 0.391, 0.119) [8 per cell]
Dy (0.208, 0.227, 0.318) [8 per cell]
Y (0.000, 0.409, 0.750) [4 per cell]
Ho (0.248, 0.447, 0.454) [8 per cell]

---

Here is a relaxed structure of PrDy2Y2Ho2 from Alexandria via LeMat-Bulk. Energies are from GGA-PBE.

Summary:
Total DFT energy (no corrections), eV/atom: -5.0168

Unit cell a=5.6878 b=5.6878 c=24.4907 alpha=90.00 beta=90.00 gamma=120.00
Space group R-3m (No. 166, hexagonal axes)
Asymmetric unit:
Pr (0.0000, 0.0000, 0.0000) [3 per cell]
Dy (0.0000, 0.0000, 0.2797) [6 per cell]
Y (0.0000, 0.0000, 0.1411) [6 per cell]
Ho (0.0000, 0.0000, 0.4266) [6 per cell]

---

Here is a relaxed structure of Pr3Dy6YHo2 from Alexandria via LeMat-Bulk. Energies are from GGA-PBE.

Summary:
Total DFT energy (no corrections), eV/atom: -4.7774

Unit cell a=6.219 b=10.768 c=11.862 alpha=90.00 beta=100.04 gamma=90.00
Space group C2/m (No. 12)
Asymmetric unit:
Pr (0.000, 0.000, 0.000) [2 per cell]
Pr (0.000, 0.333, 0.000) [4 per cell]
Dy (0.248, 0.000, 0.745) [4 per cell]
Dy (0.249, 0.333, 0.745) [8 per cell]
Y (0.000, 0.500, 0.500) [2 per cell]
Ho (0.000, 0.167, 0.500) [4 per cell]

---

Here is a relaxed structure of PrDy3YHo from Alexandria via LeMat-Bulk. Energies are from GGA-PBE.

Summary:
Total DFT energy (no corrections), eV/atom: -4.9376

Unit cell a=9.574 b=3.608 c=11.987 alpha=90.00 beta=110.29 gamma=90.00
Space group P2_1/m (No. 11)
Asymmetric unit:
Pr (0.128, 0.250, 0.128) [2 per cell]
Dy (0.069, 0.250, 0.405) [2 per cell]
Dy (0.320, 0.750, 0.652) [2 per cell]
Dy (0.434, 0.750, 0.098) [2 per cell]
Y (0.183, 0.250, 0.845) [2 per cell]
Ho (0.377, 0.750, 0.378) [2 per cell]

---

Here is a relaxed structure of Pr6DyYHo2 from Alexandria via LeMat-Bulk. Energies are from GGA-PBE.

Summary:
Total DFT energy (no corrections), eV/atom: -4.7769

Unit cell a=9.307 b=15.443 c=9.739 alpha=90.00 beta=97.84 gamma=90.00
Space group C2/c (No. 15)
Asymmetric unit:
Pr (0.062, 0.176, 0.446) [8 per cell]
Pr (0.098, 0.392, 0.619) [8 per cell]
Pr (0.213, 0.223, 0.813) [8 per cell]
Dy (0.000, 0.028, 0.750) [4 per cell]
Y (0.000, 0.410, 0.250) [4 per cell]
Ho (0.248, 0.048, 0.046) [8 per cell]

---

Here is a relaxed structure of PrDy2YHo from Alexandria via LeMat-Bulk. Energies are from GGA-PBE.

Summary:
Total DFT energy (no corrections), eV/atom: -4.6169

Unit cell a=8.423 b=11.532 c=7.230 alpha=90.00 beta=90.00 gamma=90.00
Space group Cmcm (No. 63)
Asymmetric unit:
Pr (0.000, 0.227, 0.250) [4 per cell]
Dy (0.189, 0.000, 0.000) [8 per cell]
Y (0.000, 0.499, 0.250) [4 per cell]
Ho (0.000, 0.222, 0.750) [4 per cell]

---

Here is a relaxed structure of Pr3DyY6Ho2 from Alexandria via LeMat-Bulk. Energies are from GGA-PBE.

Summary:
Total DFT energy (no corrections), eV/atom: -5.5540

Unit cell a=6.241 b=10.804 c=11.876 alpha=90.00 beta=100.05 gamma=90.00
Space group C2/m (No. 12)
Asymmetric unit:
Pr (0.000, 0.000, 0.000) [2 per cell]
Pr (0.000, 0.333, 0.000) [4 per cell]
Dy (0.000, 0.500, 0.500) [2 per cell]
Y (0.248, 0.000, 0.746) [4 per cell]
Y (0.249, 0.333, 0.746) [8 per cell]
Ho (0.000, 0.167, 0.500) [4 per cell]

---

Here is a relaxed structure of Pr3DyY2Ho6 from Alexandria via LeMat-Bulk. Energies are from GGA-PBE.

Summary:
Total DFT energy (no corrections), eV/atom: -4.9232

Unit cell a=6.215 b=10.758 c=11.836 alpha=90.00 beta=100.06 gamma=90.00
Space group C2/m (No. 12)
Asymmetric unit:
Pr (0.000, 0.000, 0.000) [2 per cell]
Pr (0.000, 0.333, 0.000) [4 per cell]
Dy (0.000, 0.500, 0.500) [2 per cell]
Y (0.000, 0.167, 0.500) [4 per cell]
Ho (0.248, 0.334, 0.746) [8 per cell]
Ho (0.249, 0.000, 0.746) [4 per cell]

---

Here is a relaxed structure of PrDyY2Ho2 from Alexandria via LeMat-Bulk. Energies are from GGA-PBE.

Summary:
Total DFT energy (no corrections), eV/atom: -4.9752

Unit cell a=6.533 b=17.897 c=3.416 alpha=90.00 beta=90.00 gamma=90.00
Space group Pnnm (No. 58)
Asymmetric unit:
Pr (0.000, 0.000, 0.000) [2 per cell]
Dy (0.000, 0.500, 0.000) [2 per cell]
Y (0.220, 0.188, 0.000) [4 per cell]
Ho (0.218, 0.353, 0.500) [4 per cell]

---

Here is a relaxed structure of Pr2DyYHo from Alexandria via LeMat-Bulk. Energies are from GGA-PBE.

Summary:
Total DFT energy (no corrections), eV/atom: -4.6248

Unit cell a=8.414 b=11.665 c=7.304 alpha=90.00 beta=90.00 gamma=90.00
Space group Cmcm (No. 63)
Asymmetric unit:
Pr (0.195, 0.000, 0.000) [8 per cell]
Dy (0.000, 0.472, 0.250) [4 per cell]
Y (0.000, 0.246, 0.750) [4 per cell]
Ho (0.000, 0.211, 0.250) [4 per cell]

---

Here is a relaxed structure of Pr6Dy2YHo from Alexandria via LeMat-Bulk. Energies are from GGA-PBE.

Summary:
Total DFT energy (no corrections), eV/atom: -4.7791

Unit cell a=9.300 b=15.494 c=9.725 alpha=90.00 beta=97.54 gamma=90.00
Space group C2/c (No. 15)
Asymmetric unit:
Pr (0.060, 0.178, 0.447) [8 per cell]
Pr (0.100, 0.392, 0.618) [8 per cell]
Pr (0.214, 0.222, 0.811) [8 per cell]
Dy (0.249, 0.050, 0.046) [8 per cell]
Y (0.000, 0.027, 0.750) [4 per cell]
Ho (0.000, 0.412, 0.250) [4 per cell]

---

Here is a relaxed structure of Pr2Dy6Y3Ho from Alexandria via LeMat-Bulk. Energies are from GGA-PBE.

Summary:
Total DFT energy (no corrections), eV/atom: -5.0762

Unit cell a=6.199 b=10.729 c=11.855 alpha=90.00 beta=99.99 gamma=90.00
Space group C2/m (No. 12)
Asymmetric unit:
Pr (0.000, 0.167, 0.000) [4 per cell]
Dy (0.247, 0.500, 0.748) [4 per cell]
Dy (0.249, 0.166, 0.748) [8 per cell]
Y (0.000, 0.000, 0.500) [2 per cell]
Y (0.000, 0.334, 0.500) [4 per cell]
Ho (0.000, 0.500, 0.000) [2 per cell]

---

Here is a relaxed structure of PrDyYHo from Alexandria via LeMat-Bulk. Energies are from GGA-PBE.

Summary:
Relative energy among the computed polymorphs, kJ/mol of formula units: 0.0
Total DFT energy (no corrections), eV/atom: -4.9871

Unit cell a=12.502 b=5.905 c=3.740 alpha=90.00 beta=107.39 gamma=90.00
Space group Cm (No. 8)
Asymmetric unit:
Pr (0.000, 0.000, 0.000) [2 per cell]
Dy (0.494, 0.000, 0.491) [2 per cell]
Y (0.239, 0.500, 0.232) [2 per cell]
Ho (0.254, 0.000, 0.748) [2 per cell]

---

DFT formation energy readings, ordered: 0.26; 0.01; 0.14; 0.27; 0.00; 0.02; 0.12; 0.14; 0.02; 0.00; 0.11; 0.39; 0.02; 0.02; 0.27; 0.42; 0.11; 0.02; 0.12 eV/atom